(1)
ScTe2Rh, relaxed, DFT GGA-PBE; spin magnetization = 0.00 μB/cell; N(E_F) = 1.041 states/eV per atom; ΔE_f (raw) = -0.125 eV/atom; raw total energy = -20.46 eV for the cell shown; energy above the lowest structure with this stoichiometry = 0.644 eV/atom
1.0
-4.207 2.136 -1.610
-1.429 -0.570 -4.742
-3.968 -2.816 -1.086
Te Sc Rh
2 1 1
Cartesian
0.000 0.000 0.000
-7.203 -0.937 -5.578
-2.401 -0.312 -1.859
-4.802 -0.625 -3.719



(2)
Ag6HgPd3, relaxed, DFT GGA-PBE; spin magnetization = 0.00 μB/cell; N(E_F) = 0.899 states/eV per atom; raw total energy = -27.97 eV for the cell shown; energy relative to the elements = 0.502 eV/atom; energy above the lowest structure with this stoichiometry = 0.415 eV/atom
1.0
-0.043 0.125 -2.794
-0.242 -10.149 0.485
-8.618 5.228 1.299
Ag Pd Hg
6 3 1
Cartesian
-6.331 3.901 -0.745
-0.084 -2.688 -1.053
-2.416 -1.212 -1.966
-6.474 -3.572 0.872
-0.203 -7.349 -1.340
-2.346 1.465 -0.833
-0.122 -5.081 0.199
-4.445 -2.392 -0.548
-4.317 2.621 0.607
-0.001 0.003 -0.072



(3)
Nd2ErCd, relaxed, DFT GGA-PBE; spin magnetization = 0.00 μB/cell; N(E_F) = 1.164 states/eV per atom; raw total energy = -15.14 eV for the cell shown; energy relative to the elements = -0.031 eV/atom; energy above the lowest structure with this stoichiometry = 0.115 eV/atom
1.0
-0.444 -2.504 -2.551
-2.058 -2.884 0.646
-9.766 3.714 -4.488
Er Nd Cd
1 2 1
Cartesian
-11.423 0.115 -5.753
-7.442 2.280 -3.486
-3.165 -0.358 -1.641
-6.138 -0.835 -3.198



(4)
CrInTc2Au, relaxed, DFT GGA-PBE; spin magnetization = 0.07 μB/cell; N(E_F) = 2.239 states/eV per atom; raw total energy = -24.47 eV for the cell shown; energy relative to the elements = 2.381 eV/atom
1.0
4.821 0.000 0.000
0.000 4.650 0.000
0.000 0.000 4.821
In Au Tc Cr
1 1 2 1
Cartesian
0.000 0.000 0.000
2.410 2.325 2.410
0.000 0.000 2.410
2.410 0.000 0.000
0.000 2.325 0.000



(5)
PmEuErSc, relaxed, DFT GGA-PBE; spin magnetization = 6.87 μB/cell; N(E_F) = 1.588 states/eV per atom; raw total energy = -25.28 eV for the cell shown; energy relative to the elements = 0.160 eV/atom
1.0
-5.080 0.729 -2.336
-4.452 -2.824 1.997
-4.037 2.737 2.828
Pm Eu Sc Er
1 1 1 1
Cartesian
0.000 0.000 0.000
-6.785 0.321 1.245
-10.177 0.481 1.867
-3.392 0.160 0.622



(6)
AlSi2Au, relaxed, DFT GGA-PBE; spin magnetization = 0.00 μB/cell; N(E_F) = 0.214 states/eV per atom; ΔE_f (raw) = 0.139 eV/atom; raw total energy = -17.31 eV for the cell shown
1.0
-0.429 -3.313 -0.437
2.500 -0.139 -1.403
4.426 -1.252 5.143
Si Au Al
2 1 1
Cartesian
2.167 -0.163 -0.893
1.321 -1.981 0.732
5.390 -2.704 2.222
3.581 -0.689 1.709



(7)
AlTe2Os, relaxed, DFT GGA-PBE; spin magnetization = 0.00 μB/cell; N(E_F) = 0.357 states/eV per atom; ΔE_f (raw) = 0.166 eV/atom; raw total energy = -20.59 eV for the cell shown
1.0
-7.544 3.516 5.293
-6.053 1.669 7.607
-5.014 4.764 7.032
Os Al Te
1 1 2
Cartesian
-14.087 7.531 15.086
-9.075 4.851 9.718
-0.498 0.266 0.534
-4.257 2.276 4.559



(8)
La2Sm8Dy3, relaxed, DFT GGA-PBE; spin magnetization = 0.00 μB/cell; N(E_F) = 1.703 states/eV per atom; raw total energy = -58.59 eV for the cell shown; energy relative to the elements = 0.217 eV/atom; energy above the lowest structure with this stoichiometry = 0.007 eV/atom
1.0
5.590 0.000 0.721
0.000 7.703 0.000
-1.353 -3.851 10.459
Sm La Dy
8 2 3
Cartesian
2.517 5.452 2.523
2.517 2.251 2.523
1.720 1.600 8.658
-0.438 3.851 3.410
4.675 0.000 7.771
-1.009 3.851 7.798
5.246 0.000 3.383
1.720 -1.600 8.658
2.100 3.851 5.778
2.138 0.000 5.403
0.000 2.207 0.000
0.000 5.496 0.000
2.795 0.000 0.361



(9)
Er2ScZn, relaxed, DFT GGA-PBE; spin magnetization = 0.66 μB/cell; N(E_F) = 1.396 states/eV per atom; raw total energy = -16.92 eV for the cell shown; energy relative to the elements = -0.047 eV/atom; energy above the lowest structure with this stoichiometry = 0.102 eV/atom
1.0
3.491 0.000 0.000
1.745 3.023 0.000
1.745 1.008 9.902
Zn Er Sc
1 2 1
Cartesian
3.491 2.015 0.009
1.745 1.008 2.252
1.745 1.008 7.645
3.491 2.015 4.947



(10)
LiLaSbF, relaxed, DFT GGA-PBE; spin magnetization = 0.00 μB/cell; N(E_F) = 0.006 states/eV per atom; ΔE_f (raw) = -2.009 eV/atom; raw total energy = -41.74 eV for the cell shown
1.0
-1.334 -1.437 -3.767
-2.803 -2.522 1.955
-6.484 6.935 -0.350
Li Sb F La
2 2 2 2
Cartesian
-5.310 1.488 -1.081
-3.242 3.467 -0.175
-3.407 0.885 0.869
-5.145 4.070 -2.125
-2.068 -1.980 -0.906
0.000 0.000 0.000
-6.838 4.554 0.684
-1.714 0.401 -1.940



(11)
Sr2ZnPdN, relaxed, DFT GGA-PBE; spin magnetization = 0.00 μB/cell; N(E_F) = 0.829 states/eV per atom; ΔE_f (raw) = -0.337 eV/atom; raw total energy = -19.84 eV for the cell shown; energy above the lowest structure with this stoichiometry = 0.190 eV/atom
1.0
5.337 0.000 0.000
0.000 5.337 0.000
0.000 0.000 4.033
N Pd Sr Zn
1 1 2 1
Cartesian
0.000 0.000 0.000
0.000 0.000 2.017
2.668 0.000 0.000
0.000 2.668 0.000
2.668 2.668 2.017



(12)
BeBPb, relaxed, DFT GGA-PBE; spin magnetization = 0.00 μB/cell; N(E_F) = 0.167 states/eV per atom; raw total energy = -26.62 eV for the cell shown; energy relative to the elements = 0.267 eV/atom; energy above the lowest structure with this stoichiometry = 0.109 eV/atom
1.0
3.269 0.000 -0.104
0.000 3.606 0.000
-1.841 0.000 8.390
B Be Pb
2 2 2
Cartesian
2.348 2.517 4.086
-0.920 0.714 4.199
0.700 1.615 3.706
0.728 3.418 4.580
2.394 3.379 1.299
-0.966 1.576 6.987



In g cm⁻³, the mass density values for the records above are, in order, 7.640, 7.812, 7.511, 8.602, 6.672, 7.120, 8.518, 7.137, 7.070, 5.556, 5.220, 7.677.